First-principles (PBE with a Hubbard U) data for crystalline LiFeSnF6 at its relaxed geometry, as listed in the Alexandria database.

## Properties
- Total energy: -5.0007 eV per atom
- N(E_F): 0.333 states/eV per atom
- Total moment: 3.35 μB per formula unit

abc: 5.3023 9.0587 4.8550
angles: 90.00 90.14 90.00
Closest atoms and distances in Å follow each position.
Space group C2 (No. 5)
Inequivalent atoms, fractional coordinates:
Li 0.0000 0.0000 0.0000  6 F 2.07-2.10
Fe 0.0000 0.6664 0.0000  6 F 2.07-2.11
Sn 0.0000 0.3328 0.5000  6 F 2.18-2.21
F 0.1625 0.8317 0.7635  1 Fe 2.08, 1 Li 2.10, 1 Sn 2.20
F 0.1653 0.1632 0.7630  1 Li 2.07, 1 Fe 2.11, 1 Sn 2.18
F 0.1725 0.5041 0.7651  1 Fe 2.07, 1 Li 2.08, 1 Sn 2.21